[1]
A plane-wave DFT calculation with PBE was carried out for crystalline La4TbY3Te8 at its relaxed geometry.

Geometry as POSCAR:
```
La4TbY3Te8
1.0
-5.5187 -4.9716 4.9087
6.6677 -5.8159 1.6059
1.1161 8.6234 1.9143
Y Te La Tb
3 8 4 1
Cartesian
3.8919 1.4037 1.7601
0.5745 -5.3938 3.2573
1.1325 -1.0821 4.2145
4.6467 3.0436 4.2742
-1.8243 -0.9007 5.1111
1.3290 -3.7508 5.7696
-2.3817 -5.2077 4.1547
1.8905 0.5606 6.7257
0.3746 -2.7248 1.7032
0.9361 1.5866 2.6593
4.0893 -1.2635 3.3178
-2.7594 -2.4858 2.4544
0.0000 0.0000 0.0000
-2.2013 1.8259 3.4115
0.5580 4.3117 0.9572
3.3338 -2.9080 0.8029
```

Space group: R-3m

[2]
A plane-wave DFT calculation with PBE was carried out for crystalline La4Tb3YTe8 at its relaxed geometry.

Geometry as POSCAR:
```
La4Tb3YTe8
1.0
-7.5261 3.9263 2.7272
-0.5302 -5.7820 6.8610
7.3970 4.8456 -1.1374
La Tb Te Y
4 3 8 1
Cartesian
0.0000 0.0000 0.0000
-3.7630 1.9631 1.3636
3.6985 2.4228 -0.5687
-0.0645 4.3859 0.7949
3.4334 -0.4682 2.8618
-4.0281 -0.9279 4.7941
-0.3296 1.4949 4.2254
1.7138 1.9394 1.9373
1.3881 -0.9151 5.1479
-2.3730 1.0504 6.5136
-5.7497 1.4794 3.8719
-2.0473 3.9049 3.3029
-1.9829 -0.4857 2.5070
1.3237 3.4755 5.9439
5.0905 1.5104 4.5789
-0.2651 -2.8910 3.4305
```

Space group: R-3m

| no. | M_tot (Bohr magnetons per cell) | formation energy (no corrections) (eV per atom) |
| --- | --- | --- |
| 1 | 0.00 | -1.456 |
| 2 | 0.00 | -1.456 |